(1)
Compound: ReTc4Ru
Source: the Alexandria database
Functional: GGA-PBE
Structure: optimized geometry

The calculation puts the formation energy at 0.06 eV/atom. The calculation puts the electronic total energy at -125.62 eV for the cell shown. As for the excess energy over the best structure of this formula in the dataset: 0 meV per atom.

a b c (Å): 4.750 8.213 4.759
angles (deg): 90.00 109.58 90.00
Space group C2/m (No. 12)
One atom of each set of equivalent atoms:
Re 0.000 0.000 0.000
Tc 0.000 0.167 0.500
Tc 0.000 0.334 0.000
Ru 0.000 0.500 0.500



(2)
Compound: Re4Tc8Ru
Source: the Alexandria database
Functional: GGA-PBE
Structure: optimized geometry

The calculation puts the formation energy at 0.45 eV/atom. The calculation puts the electronic total energy at -136.18 eV for the cell shown.

a b c (Å): 5.993 5.993 5.993
angles (deg): 90.00 90.00 90.00
Space group Pm-3m (No. 221)
One atom of each set of equivalent atoms:
Re 0.000 0.000 0.000
Re 0.000 0.500 0.500
Tc 0.242 0.242 0.242
Ru 0.500 0.500 0.500



(3)
Compound: Re2TcRu
Source: the Alexandria database
Functional: GGA-PBE
Structure: optimized geometry

The calculation puts the formation energy at 1.46 eV/atom. The calculation puts the electronic total energy at -154.76 eV for the cell shown. As for the excess energy over the best structure of this formula in the dataset: 1426 meV per atom.

a b c (Å): 5.602 5.602 11.100
angles (deg): 90.00 90.00 90.00
Space group I-42d (No. 122)
One atom of each set of equivalent atoms:
Re 0.246 0.250 0.125
Tc 0.000 0.000 0.500
Ru 0.000 0.000 0.000



(4)
Compound: Re2TcRu3
Source: the Alexandria database
Functional: GGA-PBE
Structure: optimized geometry

The calculation puts the formation energy at 0.13 eV/atom. The calculation puts the electronic total energy at -249.15 eV for the cell shown.

a b c (Å): 13.212 4.309 7.512
angles (deg): 90.00 124.60 90.00
Space group C2/m (No. 12)
One atom of each set of equivalent atoms:
Re 0.000 0.000 0.168
Re 0.249 0.000 0.410
Tc 0.126 0.500 0.124
Ru 0.001 0.500 0.668
Ru 0.126 0.000 0.620
Ru 0.249 0.000 0.082



(5)
Compound: ReTc2Ru
Source: the Alexandria database
Functional: GGA-PBE
Structure: optimized geometry

The calculation puts the formation energy at 0.00 eV/atom. The calculation puts the electronic total energy at -84.90 eV for the cell shown. As for the excess energy over the best structure of this formula in the dataset: 36 meV per atom.

a b c (Å): 4.775 2.754 8.972
angles (deg): 90.00 100.20 90.00
Space group Cm (No. 8)
One atom of each set of equivalent atoms:
Re 0.000 0.000 0.000
Tc 0.080 0.500 0.742
Tc 0.416 0.000 0.251
Ru 0.334 0.500 0.503



(6)
Compound: ReTc2Ru
Source: the Alexandria database
Functional: GGA-PBE
Structure: optimized geometry

The calculation puts the formation energy at 0.06 eV/atom. The calculation puts the electronic total energy at -42.20 eV for the cell shown. As for the excess energy over the best structure of this formula in the dataset: 97 meV per atom.

a b c (Å): 2.738 2.738 7.765
angles (deg): 90.00 90.00 90.00
Space group P4/mmm (No. 123)
One atom of each set of equivalent atoms:
Re 0.000 0.000 0.000
Tc 0.500 0.500 0.252
Ru 0.000 0.000 0.500